[1]
Below is Hf3TlGa after structural relaxation, with properties calculated at the PBE-GGA level.

abc: 5.252 5.252 5.252
angles: 90.00 90.00 90.00
Sites, in units of the cell vectors:
Hf: 0.000 0.000 0.500
Hf: 0.000 0.500 0.000
Hf: 0.500 0.000 0.000
Tl: 0.000 0.000 0.000
Ga: 0.500 0.500 0.500

Output
- polymorph energy (0 for the lowest one) (meV per atom) = 892.2
- total DFT energy (no corrections) (eV/atom) = -5.730

[2]
Below is Hf3TlGa after structural relaxation, with properties calculated at the PBE-GGA level.

abc: 4.964 4.964 4.964
angles: 90.00 90.00 90.00
Sites, in units of the cell vectors:
Hf: 0.000 0.000 0.500
Hf: 0.000 0.500 0.000
Hf: 0.500 0.000 0.000
Tl: 0.500 0.500 0.500
Ga: 0.000 0.000 0.000

Output
- polymorph energy (0 for the lowest one) (meV per atom) = 0.0
- total DFT energy (no corrections) (eV/atom) = -6.622

[3]
Below is HfTlGa after structural relaxation, with properties calculated at the PBE-GGA level.

abc: 9.775 9.775 9.775
angles: 23.96 23.96 23.96
Sites, in units of the cell vectors:
Hf: 0.061 0.061 0.061
Hf: 0.939 0.939 0.939
Tl: 0.202 0.202 0.202
Tl: 0.798 0.798 0.798
Ga: 0.342 0.342 0.342
Ga: 0.658 0.658 0.658

Output
- total DFT energy (no corrections) (eV/atom) = -5.058

Energy relative to the elements values, unit eV per atom, following the record order: 1.321 0.429 0.057.